1.
{"formula": "Pr2Nd5DyTm", "functional": "PBE", "state": "optimized geometry", "vol_a3_per_cell": 630, "dft_energy_ha_per_atom": -0.16346, "rho_g_cm3": 7.0, "dos_ef_per_ev_atom": 1.459, "cell": [[8.621, 0.000, 0.000], [0.000, 8.621, 0.000], [-4.311, -4.311, 8.473]], "species": ["Nd", "Dy", "Nd", "Dy", "Nd", "Pr", "Pr", "Nd", "Tm", "Nd", "Tm", "Nd", "Nd", "Pr", "Nd", "Nd", "Pr", "Nd"], "frac_coords": [[0.924, 0.424, 0.289], [0.750, 0.750, 0.500], [0.635, 0.135, 0.711], [0.250, 0.250, 0.500], [0.365, 0.865, 0.289], [0.123, 0.377, 0.000], [0.877, 0.623, 0.000], [0.424, 0.365, 0.289], [0.250, 0.750, 0.500], [0.865, 0.924, 0.289], [0.750, 0.250, 0.500], [0.500, 0.500, 0.000], [0.135, 0.076, 0.711], [0.377, 0.877, 0.000], [0.000, 0.000, 0.000], [0.076, 0.576, 0.711], [0.623, 0.123, 0.000], [0.576, 0.635, 0.711]]}

***

2.
{"formula": "PrNd2Dy4Tm", "functional": "PBE", "state": "optimized geometry", "vol_a3_per_cell": 538, "dft_energy_ha_per_atom": -0.15585, "rho_g_cm3": 7.7, "dos_ef_per_ev_atom": 2.498, "cell": [[9.385, 0.000, -1.706], [-0.007, 9.385, -1.706], [-6.013, -6.017, 8.297]], "species": ["Pr", "Tm", "Nd", "Dy", "Dy", "Dy", "Dy", "Pr", "Nd", "Tm", "Dy", "Nd", "Dy", "Nd", "Dy", "Dy"], "frac_coords": [[0.000, 0.500, 0.000], [0.500, 0.500, 0.500], [0.500, 0.000, 0.000], [0.243, 0.757, 0.000], [0.757, 0.243, 0.000], [0.257, 0.743, 0.500], [0.252, 0.252, 0.007], [0.000, 0.500, 0.500], [0.000, 0.000, 0.500], [0.000, 0.000, 0.000], [0.752, 0.752, 0.507], [0.500, 0.500, 0.000], [0.748, 0.748, 0.993], [0.500, 0.000, 0.500], [0.248, 0.248, 0.493], [0.743, 0.257, 0.500]]}

***

Repeat the first record exactly.
{"formula": "Pr2Nd5DyTm", "functional": "PBE", "state": "optimized geometry", "vol_a3_per_cell": 630, "dft_energy_ha_per_atom": -0.16346, "rho_g_cm3": 7.0, "dos_ef_per_ev_atom": 1.459, "cell": [[8.621, 0.000, 0.000], [0.000, 8.621, 0.000], [-4.311, -4.311, 8.473]], "species": ["Nd", "Dy", "Nd", "Dy", "Nd", "Pr", "Pr", "Nd", "Tm", "Nd", "Tm", "Nd", "Nd", "Pr", "Nd", "Nd", "Pr", "Nd"], "frac_coords": [[0.924, 0.424, 0.289], [0.750, 0.750, 0.500], [0.635, 0.135, 0.711], [0.250, 0.250, 0.500], [0.365, 0.865, 0.289], [0.123, 0.377, 0.000], [0.877, 0.623, 0.000], [0.424, 0.365, 0.289], [0.250, 0.750, 0.500], [0.865, 0.924, 0.289], [0.750, 0.250, 0.500], [0.500, 0.500, 0.000], [0.135, 0.076, 0.711], [0.377, 0.877, 0.000], [0.000, 0.000, 0.000], [0.076, 0.576, 0.711], [0.623, 0.123, 0.000], [0.576, 0.635, 0.711]]}